# 1
First-principles (GGA-PBE) data for a geometry-optimized TiGa2Au2 structure, as listed in Alexandria.

Cell and atoms, written as extended XYZ:
```
10
Lattice="7.415 0.000 0.000 0.000 7.415 0.000 0.000 0.000 3.252" Properties=species:S:1:pos:R:3 pbc="T T T"
Ga 4.978 6.145 1.626
Ga 6.145 2.437 1.626
Ga 1.270 4.978 1.626
Ga 2.437 1.270 1.626
Au 2.715 6.423 0.000
Au 4.700 0.993 0.000
Au 6.423 4.700 0.000
Au 0.993 2.715 0.000
Ti 3.708 3.708 0.000
Ti 0.000 0.000 0.000
```

Summary:
DOS at the Fermi energy ... 1.9 states/eV/f.u.
Final energy ... -20.9 eV per formula unit
Distance to the lowest polymorph of the same formula ... 152 meV/atom
ΔH_f (0 K) ... -83 meV/atom
Symmetry ... P4/mbm, No. 127

---

# 2
First-principles (GGA-PBE) data for a geometry-optimized TiGaAu structure, as listed in Alexandria.

Cell and atoms, written as extended XYZ:
```
6
Lattice="5.247 -0.002 -0.001 1.743 6.666 0.000 -0.001 0.000 2.914" Properties=species:S:1:pos:R:3 pbc="T T T"
Ti 4.783 6.558 2.198
Ti 4.617 2.419 2.197
Ga 5.962 4.428 0.742
Ga 0.180 0.197 0.743
Au 2.064 2.082 0.740
Au 3.336 4.603 0.740
```

Summary:
DOS at the Fermi energy ... 2.0 states/eV/f.u.
Final energy ... -15.3 eV per formula unit
ΔH_f (0 K) ... -352 meV/atom
Symmetry ... Pm, No. 6

---

# 3
First-principles (GGA-PBE) data for a geometry-optimized Ti4Ga3Au structure, as listed in Alexandria.

Cell and atoms, written as extended XYZ:
```
8
Lattice="2.858 0.000 0.000 0.000 2.858 0.000 0.000 0.000 15.719" Properties=species:S:1:pos:R:3 pbc="T T T"
Ti 0.000 0.000 9.808
Ti 0.000 0.000 2.052
Ti 0.000 0.000 13.667
Ti 0.000 0.000 5.911
Ga 1.429 1.429 3.958
Ga 1.429 1.429 11.761
Ga 1.429 1.429 7.860
Au 1.429 1.429 0.000
```

Summary:
DOS at the Fermi energy ... 9.0 states/eV/f.u.
Final energy ... -47.5 eV per formula unit
Distance to the lowest polymorph of the same formula ... 0 meV/atom
ΔH_f (0 K) ... -446 meV/atom
Symmetry ... P4/mmm, No. 123

---

# 4
First-principles (GGA-PBE) data for a geometry-optimized Ti2GaAu4 structure, as listed in Alexandria.

Cell and atoms, written as extended XYZ:
```
14
Lattice="6.880 0.000 -0.354 0.000 5.334 0.000 -2.997 0.000 6.922" Properties=species:S:1:pos:R:3 pbc="T T T"
Au 5.876 1.333 0.795
Au 0.535 2.673 5.261
Au 3.348 2.661 1.307
Au -1.993 4.000 5.773
Au 0.535 5.328 5.261
Au 5.070 1.333 3.627
Au -1.188 4.000 2.941
Au 3.348 0.006 1.307
Ti -1.610 1.333 6.791
Ti 5.493 4.000 -0.223
Ti 1.117 1.333 2.847
Ti 2.765 4.000 3.721
Ga 2.857 1.333 5.026
Ga 1.026 4.000 1.542
```

Summary:
DOS at the Fermi energy ... 4.8 states/eV/f.u.
Final energy ... -33.5 eV per formula unit
ΔH_f (0 K) ... -228 meV/atom
Symmetry ... P2_1/m, No. 11